Here is a geometry-optimized MgWF2 structure from Alexandria via LeMat-Bulk. Energies are from PBE+U.

Unit cell a=6.3089 b=6.3089 c=6.3089 alpha=90.00 beta=90.00 gamma=90.00
Atoms (fractional coordinates):
Mg: 0.0000 0.0000 0.0000
Mg: 0.0000 0.5000 0.5000
Mg: 0.5000 0.0000 0.5000
Mg: 0.5000 0.5000 0.0000
W: 0.0000 0.0000 0.5000
W: 0.0000 0.5000 0.0000
W: 0.5000 0.0000 0.0000
W: 0.5000 0.5000 0.5000
F: 0.2500 0.2500 0.2500
F: 0.2500 0.2500 0.7500
F: 0.2500 0.7500 0.2500
F: 0.2500 0.7500 0.7500
F: 0.7500 0.2500 0.2500
F: 0.7500 0.2500 0.7500
F: 0.7500 0.7500 0.2500
F: 0.7500 0.7500 0.7500

Mass density   6.51 g/cm3
Polymorph energy (0 for the lowest one)   933 meV per atom
Magnetization   5.2 μB/f.u.
Symmetry   No. 225